First-principles (PBE) data for YTlNF2 after structural relaxation, as listed in Alexandria.

Output
V = 18.45 Å³/atom
density = 6.2 g/cm3
SG = No. 123
energy above the lowest structure with this stoichiometry = 0.000 eV/atom
total magnetic moment = 1.00 μB/f.u.
energy relative to the elements, uncorrected = -1.88 eV/atom

Unit cell a=4.432 b=4.432 c=4.696 alpha=90.00 beta=90.00 gamma=90.00
Each line ends with the local moment (μB).
Positions (direct):
Tl 0.500 0.500 0.500  0.04
Y 0.000 0.000 0.000  0.00
F 0.500 0.000 0.000  0.00
N 0.000 0.000 0.500  0.64
F 0.000 0.500 0.000  0.00